1.
PuTePbO6 PBE-GGA relaxed; electronic total energy = -7.34 eV per atom
1.0
5.739 0.000 0.000
-2.869 4.970 0.000
0.000 0.000 10.444
Pu Te Pb O
2 2 2 12
Direct
0.333 0.667 0.250 Pu
0.667 0.333 0.750 Pu
0.333 0.667 0.750 Te
0.667 0.333 0.250 Te
0.000 0.000 0.000 Pb
0.000 0.000 0.500 Pb
0.007 0.372 0.144 O
0.007 0.634 0.356 O
0.366 0.372 0.356 O
0.366 0.993 0.144 O
0.372 0.007 0.644 O
0.372 0.366 0.856 O
0.628 0.634 0.144 O
0.628 0.993 0.356 O
0.634 0.007 0.856 O
0.634 0.628 0.644 O
0.993 0.366 0.644 O
0.993 0.628 0.856 O



2.
PuThPbO6 PBE-GGA relaxed; electronic total energy = -8.69 eV per atom
1.0
6.061 0.000 0.000
-3.031 5.249 0.000
0.000 0.000 9.837
Pu Th Pb O
2 2 2 12
Direct
0.333 0.667 0.250 Pu
0.667 0.333 0.750 Pu
0.333 0.667 0.750 Th
0.667 0.333 0.250 Th
0.000 0.000 0.000 Pb
0.000 0.000 0.500 Pb
0.029 0.381 0.142 O
0.029 0.649 0.358 O
0.351 0.381 0.358 O
0.351 0.971 0.142 O
0.381 0.029 0.642 O
0.381 0.351 0.858 O
0.619 0.649 0.142 O
0.619 0.971 0.358 O
0.649 0.029 0.858 O
0.649 0.619 0.642 O
0.971 0.351 0.642 O
0.971 0.619 0.858 O



3.
PuTiPb2O6 PBE-GGA relaxed; electronic total energy = -8.15 eV per atom
1.0
6.036 0.000 0.000
0.000 8.293 0.000
0.000 0.000 5.984
Pu Ti Pb O
2 2 4 12
Direct
0.250 0.250 0.225 Pu
0.750 0.750 0.775 Pu
0.250 0.750 0.227 Ti
0.750 0.250 0.773 Ti
0.250 0.527 0.688 Pb
0.250 0.973 0.688 Pb
0.750 0.027 0.312 Pb
0.750 0.473 0.312 Pb
0.017 0.750 0.027 O
0.024 0.750 0.528 O
0.250 0.515 0.287 O
0.250 0.985 0.287 O
0.476 0.750 0.528 O
0.483 0.750 0.027 O
0.517 0.250 0.973 O
0.524 0.250 0.472 O
0.750 0.015 0.713 O
0.750 0.485 0.713 O
0.976 0.250 0.472 O
0.983 0.250 0.973 O



4.
PuTiPbO6 PBE-GGA relaxed; electronic total energy = -8.57 eV per atom
1.0
5.451 0.000 0.000
-2.725 4.721 0.000
0.000 0.000 10.629
Pu Ti Pb O
2 2 2 12
Direct
0.333 0.667 0.250 Pu
0.667 0.333 0.750 Pu
0.333 0.667 0.750 Ti
0.667 0.333 0.250 Ti
0.000 0.000 0.000 Pb
0.000 0.000 0.500 Pb
0.011 0.379 0.648 O
0.011 0.633 0.852 O
0.367 0.379 0.852 O
0.367 0.989 0.648 O
0.379 0.011 0.148 O
0.379 0.367 0.352 O
0.621 0.633 0.648 O
0.621 0.989 0.852 O
0.633 0.011 0.352 O
0.633 0.621 0.148 O
0.989 0.367 0.148 O
0.989 0.621 0.352 O



5.
Pu3Tl2PbO12 PBE-GGA relaxed; electronic total energy = -8.14 eV per atom
1.0
4.043 2.334 5.576
-4.043 2.334 5.576
0.000 -4.668 5.576
Pu Tl Pb O
3 2 1 12
Direct
0.000 0.500 0.500 Pu
0.500 0.000 0.500 Pu
0.500 0.500 0.000 Pu
0.112 0.112 0.112 Tl
0.888 0.888 0.888 Tl
0.500 0.500 0.500 Pb
0.063 0.633 0.633 O
0.233 0.233 0.600 O
0.233 0.600 0.233 O
0.367 0.367 0.937 O
0.367 0.937 0.367 O
0.400 0.767 0.767 O
0.600 0.233 0.233 O
0.633 0.063 0.633 O
0.633 0.633 0.063 O
0.767 0.400 0.767 O
0.767 0.767 0.400 O
0.937 0.367 0.367 O



6.
PuTlPb2O6 PBE-GGA relaxed; electronic total energy = -7.00 eV per atom
1.0
6.199 0.000 0.000
3.099 5.381 0.000
3.093 1.800 5.639
Pu Tl Pb O
1 1 2 6
Direct
0.000 0.000 0.000 Pu
0.465 0.465 0.604 Tl
0.210 0.207 0.375 Pb
0.680 0.680 0.960 Pb
0.051 0.344 0.781 O
0.212 0.940 0.192 O
0.344 0.825 0.780 O
0.657 0.210 0.193 O
0.823 0.051 0.781 O
0.941 0.657 0.192 O



7.
PuTlPb2O8 PBE-GGA relaxed; electronic total energy = -6.68 eV per atom
1.0
3.552 -3.697 0.000
3.552 3.697 0.000
0.000 0.000 7.173
Pu Tl Pb O
1 1 2 8
Direct
0.000 0.000 0.000 Pu
0.000 0.000 0.500 Tl
0.500 0.500 0.247 Pb
0.500 0.500 0.753 Pb
0.183 0.817 0.206 O
0.183 0.817 0.794 O
0.296 0.296 0.000 O
0.300 0.300 0.500 O
0.700 0.700 0.500 O
0.704 0.704 0.000 O
0.817 0.183 0.206 O
0.817 0.183 0.794 O



8.
PuTl2PbO6 PBE-GGA relaxed; electronic total energy = -6.73 eV per atom
1.0
3.117 1.800 5.038
-3.117 1.800 5.038
0.000 -3.600 5.038
Pu Tl Pb O
1 2 1 6
Direct
0.000 0.000 0.000 Pu
0.250 0.250 0.250 Tl
0.750 0.750 0.750 Tl
0.500 0.500 0.500 Pb
0.176 0.278 0.775 O
0.225 0.824 0.722 O
0.278 0.775 0.176 O
0.722 0.225 0.824 O
0.775 0.176 0.278 O
0.824 0.722 0.225 O



9.
Pu2TlPbO8 PBE-GGA relaxed; electronic total energy = -7.75 eV per atom
1.0
6.034 0.000 0.000
-3.017 5.226 0.000
0.000 0.000 6.228
Pu Tl Pb O
2 1 1 8
Direct
0.333 0.667 0.423 Pu
0.667 0.333 0.577 Pu
0.000 0.000 0.500 Tl
0.000 0.000 0.000 Pb
0.058 0.369 0.654 O
0.311 0.942 0.654 O
0.333 0.667 0.122 O
0.369 0.311 0.346 O
0.631 0.689 0.654 O
0.667 0.333 0.878 O
0.689 0.058 0.346 O
0.942 0.631 0.346 O



10.
PuTl3Pb2O6 PBE-GGA relaxed; electronic total energy = -6.26 eV per atom
1.0
3.243 -5.492 0.000
3.243 5.492 0.000
-2.003 0.000 6.418
Pu Tl Pb O
1 3 2 6
Direct
0.000 0.000 0.000 Pu
0.163 0.837 0.500 Tl
0.500 0.500 0.500 Tl
0.837 0.163 0.500 Tl
0.331 0.669 0.000 Pb
0.669 0.331 0.000 Pb
0.058 0.341 0.176 O
0.206 0.206 0.791 O
0.341 0.058 0.176 O
0.659 0.942 0.824 O
0.794 0.794 0.209 O
0.942 0.659 0.824 O



11.
Pu3Tl4PbO12 PBE-GGA relaxed; electronic total energy = -7.67 eV per atom
1.0
-4.391 4.391 4.391
4.391 -4.391 4.391
4.391 4.391 -4.391
Pu Tl Pb O
3 4 1 12
Direct
0.000 0.500 0.500 Pu
0.500 0.000 0.500 Pu
0.500 0.500 0.000 Pu
0.000 0.000 0.500 Tl
0.000 0.500 0.000 Tl
0.500 0.000 0.000 Tl
0.500 0.500 0.500 Tl
0.000 0.000 0.000 Pb
0.000 0.281 0.281 O
0.000 0.719 0.719 O
0.250 0.500 0.750 O
0.250 0.750 0.500 O
0.281 0.000 0.281 O
0.281 0.281 0.000 O
0.500 0.250 0.750 O
0.500 0.750 0.250 O
0.719 0.000 0.719 O
0.719 0.719 0.000 O
0.750 0.250 0.500 O
0.750 0.500 0.250 O



12.
TmPuPbO6 PBE-GGA relaxed; electronic total energy = -8.24 eV per atom
1.0
5.759 0.000 0.000
-2.880 4.988 0.000
0.000 0.000 10.257
Tm Pu Pb O
2 2 2 12
Direct
0.333 0.667 0.250 Tm
0.667 0.333 0.750 Tm
0.333 0.667 0.750 Pu
0.667 0.333 0.250 Pu
0.000 0.000 0.000 Pb
0.000 0.000 0.500 Pb
0.028 0.382 0.644 O
0.028 0.646 0.856 O
0.354 0.382 0.856 O
0.354 0.972 0.644 O
0.382 0.028 0.144 O
0.382 0.354 0.356 O
0.618 0.646 0.644 O
0.618 0.972 0.856 O
0.646 0.028 0.356 O
0.646 0.618 0.144 O
0.972 0.354 0.144 O
0.972 0.618 0.356 O



13.
TmPuPb2O8 PBE-GGA relaxed; electronic total energy = -7.48 eV per atom
1.0
3.640 -3.640 0.000
3.640 3.640 0.000
0.000 0.000 6.814
Tm Pu Pb O
1 1 2 8
Direct
0.000 0.000 0.000 Tm
0.000 0.000 0.500 Pu
0.500 0.500 0.249 Pb
0.500 0.500 0.751 Pb
0.183 0.183 0.268 O
0.183 0.183 0.732 O
0.302 0.698 0.500 O
0.305 0.695 0.000 O
0.695 0.305 0.000 O
0.698 0.302 0.500 O
0.817 0.817 0.268 O
0.817 0.817 0.732 O